# 1
Crystalline NbTc2B at its relaxed geometry. Source: the Open Quantum Materials Database, functional GGA-PBE.

POSCAR file:
```
NbTc2B
1.0
2.207 -0.036 3.650
-2.003 -0.721 3.696
0.620 -3.671 2.081
Tc B Nb
2 1 1
Cartesian
0.618 -3.321 7.070 Tc
0.000 0.000 0.000 Tc
0.412 -2.214 4.714 B
0.206 -1.107 2.357 Nb
```

# 2
Crystalline Cu7Ag3 at its relaxed geometry. Source: the Open Quantum Materials Database, functional GGA-PBE.

POSCAR file:
```
Cu7Ag3
1.0
6.913 -1.876 0.000
6.913 1.876 0.000
-1.210 0.000 5.276
Cu Ag
7 3
Cartesian
2.104 0.000 3.118 Cu
4.579 0.000 3.660 Cu
2.662 0.000 0.590 Cu
10.511 0.000 2.159 Cu
-0.605 0.000 2.638 Cu
9.953 0.000 4.686 Cu
8.036 0.000 1.616 Cu
0.000 0.000 0.000 Ag
5.216 0.000 1.102 Ag
7.399 0.000 4.175 Ag
```

Results
E above lowest polymorph in meV per atom: 43
Formation energy in eV/atom: 0.09

Computed energy, in the same sequence as the records: -8.956; -3.361 eV per atom.